No. 1
## Mg3Cd5In2 (PBE)

Data for a geometry-optimized Mg3Cd5In2 structure.

Cell: 6.5688 8.7229 8.7230 Å, 108.33 94.74 94.74°
Last column: nearest neighbours and their distance in Å.
Fractional coordinates of all 20 atoms:
1 In 0.6120 0.8585 0.3822  4 Mg 3.16-3.48, 6 Cd 3.20-3.53, 2 In 3.22-3.25
2 In 0.8880 0.6178 0.1415  4 Mg 3.16-3.48, 6 Cd 3.20-3.53, 2 In 3.22-3.25
3 In 0.3880 0.1415 0.6178  4 Mg 3.16-3.48, 6 Cd 3.20-3.53, 2 In 3.22-3.25
4 In 0.1120 0.3822 0.8585  4 Mg 3.16-3.48, 6 Cd 3.20-3.53, 2 In 3.22-3.25
5 Mg 0.1115 0.7963 0.4955  6 Cd 2.92-3.19, 2 In 3.16-3.20
6 Mg 0.7500 0.9501 0.0499  8 Cd 2.97-3.14
7 Mg 0.8885 0.2037 0.5045  6 Cd 2.92-3.19, 2 In 3.16-3.20
8 Mg 0.6115 0.4955 0.7963  6 Cd 2.92-3.19, 2 In 3.16-3.20
9 Mg 0.3885 0.5045 0.2037  6 Cd 2.92-3.19, 2 In 3.16-3.20
10 Mg 0.2500 0.0499 0.9501  8 Cd 2.97-3.14
11 Cd 0.0168 0.2846 0.2057  4 Mg 2.98-3.12, 4 Cd 3.01-3.34, 1 In 3.29
12 Cd 0.6368 0.2631 0.9738  4 Mg 2.92-3.14, 3 Cd 3.01-3.06, 2 In 3.20-3.22
13 Cd 0.3632 0.7369 0.0262  4 Mg 2.92-3.14, 3 Cd 3.01-3.06, 2 In 3.20-3.22
14 Cd 0.5168 0.2057 0.2846  4 Mg 2.98-3.12, 4 Cd 3.01-3.34, 1 In 3.29
15 Cd 0.1368 0.9738 0.2631  4 Mg 2.92-3.14, 3 Cd 3.01-3.06, 2 In 3.20-3.22
16 Cd 0.4832 0.7943 0.7154  4 Mg 2.98-3.12, 4 Cd 3.01-3.34, 1 In 3.29
17 Cd 0.8632 0.0262 0.7369  4 Mg 2.92-3.14, 3 Cd 3.01-3.06, 2 In 3.20-3.22
18 Cd 0.2500 0.4671 0.5329  4 Cd 3.01-3.34, 4 Mg 3.10-3.19, 2 In 3.33
19 Cd 0.7500 0.5329 0.4671  4 Cd 3.01-3.34, 4 Mg 3.10-3.19, 2 In 3.33
20 Cd 0.9832 0.7154 0.7943  4 Mg 2.98-3.12, 4 Cd 3.01-3.34, 1 In 3.29

For the calculated formation energy, the calculation gives -0.0237 eV/atom.



No. 2
## Pr4Zn3Ni5 (PBE)

Data for a geometry-optimized Pr4Zn3Ni5 structure.

Cell: 4.4104 7.0496 9.1356 Å, 74.44 76.03 71.77°
Last column: nearest neighbours and their distance in Å.
Fractional coordinates of all 12 atoms:
1 Ni 0.7203 0.5778 0.9816  3 Ni 2.32-2.43
2 Ni 0.5000 0.5000 0.5000  2 Zn 2.21
3 Ni 0.2797 0.4222 0.0184  3 Ni 2.32-2.43
4 Ni 0.4084 0.0718 0.1114  2 Ni 2.32-2.37, 1 Zn 2.45
5 Ni 0.5916 0.9282 0.8886  2 Ni 2.32-2.37, 1 Zn 2.45
6 Zn 0.0000 0.5000 0.5000  2 Ni 2.21
7 Zn 0.6247 0.1272 0.6235  2 Ni 2.45-2.51
8 Zn 0.3753 0.8728 0.3765  2 Ni 2.45-2.51
9 Pr 0.0431 0.7569 0.1569  5 Ni 2.77-3.08
10 Pr 0.9569 0.2431 0.8431  5 Ni 2.77-3.08
11 Pr 0.7313 0.2679 0.2695  6 Ni 2.81-3.15, 1 Zn 3.08
12 Pr 0.2687 0.7321 0.7305  6 Ni 2.81-3.15, 1 Zn 3.08

For the calculated formation energy, the calculation gives -0.2284 eV/atom.



No. 3
## Nd3YTm8 (PBE)

Data for a geometry-optimized Nd3YTm8 structure.

Cell: 8.4205 8.4235 8.4140 Å, 96.06 136.28 99.87°
Last column: nearest neighbours and their distance in Å.
Fractional coordinates of all 12 atoms:
1 Tm 0.5007 0.6687 0.8324  7 Tm 3.48-3.65, 4 Nd 3.52-3.64, 1 Y 3.60
2 Tm 0.1637 0.3315 0.8316  7 Tm 3.48-3.65, 4 Nd 3.51-3.65, 1 Y 3.59
3 Tm 0.1708 0.9193 0.7537  7 Tm 3.48-3.65, 1 Y 3.50, 4 Nd 3.53-3.66
4 Tm 0.8335 0.5825 0.7532  7 Tm 3.48-3.65, 1 Y 3.51, 4 Nd 3.53-3.66
5 Tm 0.4988 0.1675 0.3318  7 Tm 3.48-3.62, 3 Nd 3.50-3.61, 2 Y 3.60-3.64
6 Tm 0.8338 0.0804 0.2513  7 Tm 3.48-3.65, 1 Y 3.51, 4 Nd 3.53-3.66
7 Tm 0.1646 0.8330 0.3311  7 Tm 3.48-3.62, 3 Nd 3.49-3.61, 2 Y 3.60-3.64
8 Tm 0.1708 0.4173 0.2519  7 Tm 3.48-3.65, 1 Y 3.51, 4 Nd 3.52-3.66
9 Nd 0.4964 0.2490 0.7461  10 Tm 3.50-3.66, 1 Y 3.52, 1 Nd 3.53
10 Nd 0.8353 0.5000 0.3347  10 Tm 3.52-3.65, 2 Nd 3.53-3.54
11 Nd 0.4962 0.7505 0.2474  10 Tm 3.49-3.66, 1 Y 3.51, 1 Nd 3.54
12 Y 0.8355 0.0002 0.8349  10 Tm 3.50-3.64, 2 Nd 3.51-3.52

For the calculated formation energy, the calculation gives 0.0138 eV/atom.



No. 4
## TlAg2O (PBE)

Data for a geometry-optimized TlAg2O structure.

Cell: 4.6491 4.6491 4.6491 Å, 60.00 60.00 60.00°
Last column: nearest neighbours and their distance in Å.
Fractional coordinates of all 4 atoms:
1 Ag 0.2500 0.2500 0.2500  4 O 2.85, 4 Tl 2.85
2 Ag 0.7500 0.7500 0.7500  4 O 2.85, 4 Tl 2.85
3 O 0.0000 0.0000 0.0000  8 Ag 2.85
4 Tl 0.5000 0.5000 0.5000  8 Ag 2.85

The polymorph energy (0 for the lowest one) comes out at 16.1 kJ/mol of atoms. For the uncorrected formation energy, the calculation gives 0.23 eV/atom.



No. 5
## Ce8BiSb3Te4 (PBE)

Data for a geometry-optimized Ce8BiSb3Te4 structure.

Cell: 9.0705 8.9985 9.0798 Å, 120.32 119.97 90.00°
Last column: nearest neighbours and their distance in Å.
Fractional coordinates of all 16 atoms:
1 Te 0.0000 0.0000 0.5000  6 Ce 3.21-3.22
2 Te 0.0000 0.0000 0.0000  6 Ce 3.21-3.22
3 Te 0.5000 0.0000 0.5000  6 Ce 3.21-3.22
4 Te 0.5000 0.0000 0.0000  6 Ce 3.18
5 Bi 0.0000 0.5000 0.0000  6 Ce 3.21
6 Ce 0.7490 0.2520 0.0034  2 Sb 3.17, 3 Te 3.18-3.22, 1 Bi 3.21
7 Ce 0.7455 0.7480 0.9966  2 Sb 3.17, 3 Te 3.18-3.22, 1 Bi 3.21
8 Ce 0.2519 0.2549 0.5037  3 Sb 3.17-3.18, 3 Te 3.21-3.22
9 Ce 0.2545 0.2520 0.0034  2 Sb 3.17, 3 Te 3.18-3.22, 1 Bi 3.21
10 Ce 0.7481 0.7451 0.4963  3 Sb 3.17-3.18, 3 Te 3.21-3.22
11 Ce 0.7487 0.2519 0.4973  2 Sb 3.17, 3 Te 3.18-3.21, 1 Bi 3.21
12 Ce 0.2513 0.7481 0.5027  2 Sb 3.17, 3 Te 3.18-3.21, 1 Bi 3.21
13 Ce 0.2510 0.7480 0.9966  2 Sb 3.17, 3 Te 3.18-3.22, 1 Bi 3.21
14 Sb 0.5000 0.5000 0.0000  6 Ce 3.17
15 Sb 0.5000 0.5000 0.5000  6 Ce 3.17-3.18
16 Sb 0.0000 0.5000 0.5000  6 Ce 3.17-3.18

For the uncorrected formation energy, the calculation gives -1.19 eV/atom.



No. 6
## Cs2RbGaAu (PBE)

Data for a geometry-optimized Cs2RbGaAu structure.

Cell: 7.4422 7.4422 5.0022 Å, 90.00 90.00 90.00°
Last column: nearest neighbours and their distance in Å.
Fractional coordinates of all 5 atoms:
1 Au 0.0000 0.0000 0.0000  2 Ga 2.50
2 Rb 0.5000 0.5000 0.5000  8 Cs 4.48, 2 Rb 5.00
3 Cs 0.5000 0.0000 0.0000  2 Au 3.72
4 Cs 0.0000 0.5000 0.0000  2 Au 3.72
5 Ga 0.0000 0.0000 0.5000  2 Au 2.50

For the calculated formation energy, the calculation gives -0.0496 eV/atom. The polymorph energy (0 for the lowest one) comes out at 0.0 kJ/mol of atoms.



No. 7
## Sr2LiMgTl6 (PBE)

Data for a geometry-optimized Sr2LiMgTl6 structure.

Cell: 10.3845 6.3475 7.6334 Å, 65.47 47.49 89.86°
Last column: nearest neighbours and their distance in Å.
Fractional coordinates of all 10 atoms:
1 Tl 0.2959 0.8027 0.8971  1 Li 3.03, 1 Mg 3.13, 3 Tl 3.17-3.30
2 Tl 0.2923 0.3004 0.9012  1 Li 3.03, 1 Mg 3.14, 3 Tl 3.17-3.30
3 Tl 0.0850 0.2453 0.5109  1 Li 2.80, 1 Mg 2.91
4 Tl 0.7041 0.1973 0.1029  1 Li 3.03, 1 Mg 3.13, 3 Tl 3.17-3.30
5 Tl 0.9150 0.7547 0.4891  1 Li 2.80, 1 Mg 2.91
6 Tl 0.7077 0.6996 0.0988  1 Li 3.03, 1 Mg 3.14, 3 Tl 3.17-3.30
7 Li 0.0000 0.0000 0.0000  6 Tl 2.80-3.03
8 Sr 0.2507 0.7549 0.4898  7 Tl 3.49-3.64, 1 Mg 3.90
9 Sr 0.7493 0.2451 0.5102  7 Tl 3.49-3.64, 1 Mg 3.90
10 Mg 0.5000 0.5000 0.0000  6 Tl 2.91-3.14

For the calculated formation energy, the calculation gives -0.1689 eV/atom.



No. 8
## Ca3CeRh8 (PBE)

Data for a geometry-optimized Ca3CeRh8 structure.

Cell: 5.3508 5.3508 9.2917 Å, 73.27 73.27 60.00°
Last column: nearest neighbours and their distance in Å.
Fractional coordinates of all 12 atoms:
1 Ca 0.4976 0.4976 0.5072  12 Rh 3.09-3.17, 1 Ca 3.23, 3 Ce 3.30
2 Ca 0.3746 0.3746 0.8763  12 Rh 3.14-3.16, 4 Ca 3.23-3.25
3 Ca 0.0024 0.0024 0.9927  12 Rh 3.12-3.19, 3 Ca 3.25, 1 Ce 3.35
4 Rh 0.4412 0.9376 0.6836  6 Rh 2.66-2.70
5 Rh 0.9336 0.4379 0.1907  6 Rh 2.65-2.70
6 Rh 0.4379 0.9336 0.1907  6 Rh 2.65-2.70
7 Rh 0.9376 0.4412 0.6836  6 Rh 2.66-2.70
8 Rh 0.6875 0.6875 0.9374  6 Rh 2.70
9 Rh 0.1873 0.1873 0.4380  6 Rh 2.66-2.67
10 Rh 0.9376 0.9376 0.6836  6 Rh 2.66-2.70
11 Rh 0.4379 0.4379 0.1907  6 Rh 2.65-2.70
12 Ce 0.8748 0.8748 0.3755  12 Rh 3.11-3.14, 4 Ca 3.30-3.35

For the calculated formation energy, the calculation gives -0.5213 eV/atom.



no.,magnetic moment (μB per atom)
1,0.000
2,0.000
3,0.000
4,0.000
5,0.552
6,0.000
7,0.000
8,0.000